The following is a DFT calculation (PBE-GGA) of crystalline EuTlGa2 at its relaxed geometry.

Summary:
Calculated volume (Å³/atom): 28.1
Space group: R-3m
Energy above the most stable polymorph in this dataset (meV per atom): 484
Total energy (eV per cell): -17.90

Cell and atoms, written as POSCAR:
```
EuTlGa2
1.0
1.7120 0.9884 11.0617
-1.7120 0.9884 11.0617
0.0000 -1.9769 11.0617
Eu Tl Ga
1 1 2
direct
0.0000 0.0000 0.0000 Eu
0.5000 0.5000 0.5000 Tl
0.0920 0.0920 0.0920 Ga
0.9080 0.9080 0.9080 Ga
```

The following is a DFT calculation (PBE-GGA) of crystalline Tl2CdCuNi at its relaxed geometry.

Summary:
Calculated volume (Å³/atom): 30.8
Space group: P4/mmm
Total energy (eV per cell): -10.25

Cell and atoms, written as POSCAR:
```
Tl2CdCuNi
1.0
5.6263 0.0000 0.0000
0.0000 5.6263 0.0000
0.0000 0.0000 4.8577
Tl Cd Cu Ni
2 1 1 1
direct
0.0000 0.5000 0.0000 Tl
0.5000 0.0000 0.0000 Tl
0.0000 0.0000 0.0000 Cd
0.0000 0.0000 0.5000 Cu
0.5000 0.5000 0.5000 Ni
```

The following is a DFT calculation (PBE-GGA) of crystalline Tl8In3 at its relaxed geometry.

Summary:
Calculated volume (Å³/atom): 33.2
Space group: R-3
Energy above the most stable polymorph in this dataset (meV per atom): 5
Total energy (eV per cell): -25.77

Cell and atoms, written as POSCAR:
```
Tl8In3
1.0
6.1379 3.5437 2.7962
-6.1379 3.5437 2.7962
0.0000 -7.0875 2.7962
Tl In
8 3
direct
0.1910 0.5299 0.6897 Tl
0.2318 0.2318 0.2318 Tl
0.3103 0.8090 0.4701 Tl
0.4701 0.3103 0.8090 Tl
0.5299 0.6897 0.1910 Tl
0.6897 0.1910 0.5299 Tl
0.7682 0.7682 0.7682 Tl
0.8090 0.4701 0.3103 Tl
0.0000 0.0000 0.5000 In
0.0000 0.5000 0.0000 In
0.5000 0.0000 0.0000 In
```

The following is a DFT calculation (PBE-GGA) of crystalline Ba2SrS2I2 at its relaxed geometry.

Summary:
Calculated volume (Å³/atom): 38.9
ΔE_f (raw) (eV/f.u.): -12.988
Space group: I4/mmm
Total energy (eV per cell): -29.87

Cell and atoms, written as POSCAR:
```
Ba2SrS2I2
1.0
-2.7831 2.7831 8.7877
2.7831 -2.7831 8.7877
2.7831 2.7831 -8.7877
Ba Sr S I
2 1 2 2
direct
0.1095 0.1095 0.0000 Ba
0.8905 0.8905 0.0000 Ba
0.5000 0.5000 0.0000 Sr
0.0000 0.5000 0.5000 S
0.5000 0.0000 0.5000 S
0.3101 0.3101 0.0000 I
0.6899 0.6899 0.0000 I
```

The following is a DFT calculation (PBE-GGA) of crystalline CaHfPd3 at its relaxed geometry.

Summary:
Calculated volume (Å³/atom): 24.3
Space group: Pm-3m
Energy above the most stable polymorph in this dataset (meV per atom): 0
Total energy (eV per cell): -27.94

Cell and atoms, written as POSCAR:
```
CaHfPd3
1.0
4.9519 0.0000 0.0000
0.0000 4.9519 0.0000
0.0000 0.0000 4.9519
Ca Hf Pd
1 1 3
direct
0.0000 0.0000 0.0000 Ca
0.5000 0.5000 0.5000 Hf
0.0000 0.5000 0.5000 Pd
0.5000 0.0000 0.5000 Pd
0.5000 0.5000 0.0000 Pd
```

The following is a DFT calculation (PBE-GGA) of crystalline CsV2AgI8 at its relaxed geometry.

Summary:
Calculated volume (Å³/atom): 43.7
ΔE_f (raw) (eV/f.u.): -6.529
Space group: R-3
Total energy (eV per cell): -40.87

Cell and atoms, written as POSCAR:
```
CsV2AgI8
1.0
3.7360 2.1570 10.8371
-3.7360 2.1570 10.8371
0.0000 -4.3140 10.8371
Cs V Ag I
1 2 1 8
direct
0.0000 0.0000 0.0000 Cs
0.2467 0.2467 0.2467 V
0.7533 0.7533 0.7533 V
0.5000 0.5000 0.5000 Ag
0.1113 0.7730 0.4464 I
0.2270 0.5536 0.8887 I
0.3263 0.3263 0.3263 I
0.4464 0.1113 0.7730 I
0.5536 0.8887 0.2270 I
0.6737 0.6737 0.6737 I
0.7730 0.4464 0.1113 I
0.8887 0.2270 0.5536 I
```

The following is a DFT calculation (PBE-GGA) of crystalline V3BC at its relaxed geometry.

Summary:
Calculated volume (Å³/atom): 10.5
Space group: C2/m
Energy above the most stable polymorph in this dataset (meV per atom): 0
Total energy (eV per cell): -89.53

Cell and atoms, written as POSCAR:
```
V3BC
1.0
4.3494 -2.0929 0.0000
4.3494 2.0929 0.0000
-2.5226 0.0000 5.7478
V B C
6 2 2
direct
0.1136 0.1136 0.2260 V
0.2161 0.2161 0.6601 V
0.3826 0.3826 0.1152 V
0.6174 0.6174 0.8848 V
0.7839 0.7839 0.3399 V
0.8864 0.8864 0.7740 V
0.3995 0.3995 0.5002 B
0.6005 0.6005 0.4998 B
0.1316 0.1316 0.9169 C
0.8684 0.8684 0.0831 C
```

The following is a DFT calculation (PBE-GGA) of crystalline BPd4 at its relaxed geometry.

Summary:
Calculated volume (Å³/atom): 14.8
Space group: Pmm2
Energy above the most stable polymorph in this dataset (meV per atom): 251
Total energy (eV per cell): -27.36

Cell and atoms, written as POSCAR:
```
BPd4
1.0
2.8621 0.0000 0.0000
0.0000 4.3734 0.0000
0.0000 0.0000 5.8937
B Pd
1 4
direct
0.0000 0.0000 0.0000 B
0.0000 0.0000 0.3319 Pd
0.0000 0.5000 0.0166 Pd
0.5000 0.0000 0.7556 Pd
0.5000 0.5000 0.4729 Pd
```

The following is a DFT calculation (PBE-GGA) of crystalline Sr3TiSi2O8 at its relaxed geometry.

Summary:
Calculated volume (Å³/atom): 13.4
ΔE_f (raw) (eV/f.u.): -39.635
Space group: P-3m1
Total energy (eV per cell): -103.09

Cell and atoms, written as POSCAR:
```
Sr3TiSi2O8
1.0
5.5332 0.0000 0.0000
-2.7666 4.7919 0.0000
0.0000 0.0000 7.0968
Sr Ti Si O
3 1 2 8
direct
0.0000 0.0000 0.0000 Sr
0.3333 0.6667 0.6611 Sr
0.6667 0.3333 0.3389 Sr
0.0000 0.0000 0.5000 Ti
0.3333 0.6667 0.2160 Si
0.6667 0.3333 0.7840 Si
0.1740 0.3479 0.3073 O
0.1740 0.8260 0.3073 O
0.3333 0.6667 0.9897 O
0.3479 0.1740 0.6927 O
0.6521 0.8260 0.3073 O
0.6667 0.3333 0.0103 O
0.8260 0.1740 0.6927 O
0.8260 0.6521 0.6927 O
```

The following is a DFT calculation (PBE-GGA) of crystalline Na3UPb3Se8 at its relaxed geometry.

Summary:
Calculated volume (Å³/atom): 29.9
ΔE_f (raw) (eV/f.u.): -12.314
Space group: R-3m
Total energy (eV per cell): -66.56

Cell and atoms, written as POSCAR:
```
Na3UPb3Se8
1.0
4.2794 2.4707 7.0708
-4.2794 2.4707 7.0708
0.0000 -4.9414 7.0708
Na U Pb Se
3 1 3 8
direct
0.0000 0.5000 0.5000 Na
0.5000 0.0000 0.5000 Na
0.5000 0.5000 0.0000 Na
0.5000 0.5000 0.5000 U
0.0000 0.0000 0.5000 Pb
0.0000 0.5000 0.0000 Pb
0.5000 0.0000 0.0000 Pb
0.2507 0.2507 0.2507 Se
0.2747 0.7243 0.7243 Se
0.2757 0.2757 0.7253 Se
0.2757 0.7253 0.2757 Se
0.7243 0.2747 0.7243 Se
0.7243 0.7243 0.2747 Se
0.7253 0.2757 0.2757 Se
0.7493 0.7493 0.7493 Se
```

The following is a DFT calculation (PBE-GGA) of crystalline AlOs3F at its relaxed geometry.

Summary:
Calculated volume (Å³/atom): 14.8
ΔE_f (raw) (eV/f.u.): 7.216
Space group: Pm-3m
Energy above the most stable polymorph in this dataset (meV per atom): 0
Total energy (eV per cell): -32.09

Cell and atoms, written as POSCAR:
```
AlOs3F
1.0
4.2022 0.0000 0.0000
0.0000 4.2022 0.0000
0.0000 0.0000 4.2022
Al Os F
1 3 1
direct
0.0000 0.0000 0.0000 Al
0.0000 0.5000 0.5000 Os
0.5000 0.0000 0.5000 Os
0.5000 0.5000 0.0000 Os
0.5000 0.5000 0.5000 F
```

The following is a DFT calculation (PBE-GGA) of crystalline Ce3Nd4HoS8 at its relaxed geometry.

Summary:
Calculated volume (Å³/atom): 23.1
ΔE_f (raw) (eV/f.u.): -32.476
Space group: R-3m
Total energy (eV per cell): -106.95

Cell and atoms, written as POSCAR:
```
Ce3Nd4HoS8
1.0
4.0323 2.3281 6.5729
-4.0323 2.3281 6.5729
0.0000 -4.6561 6.5729
Ce Nd Ho S
3 4 1 8
direct
0.0000 0.5000 0.5000 Ce
0.5000 0.0000 0.5000 Ce
0.5000 0.5000 0.0000 Ce
0.0000 0.0000 0.5000 Nd
0.0000 0.5000 0.0000 Nd
0.5000 0.0000 0.0000 Nd
0.5000 0.5000 0.5000 Nd
0.0000 0.0000 0.0000 Ho
0.2442 0.2442 0.7532 S
0.2442 0.7532 0.2442 S
0.2468 0.7558 0.7558 S
0.2511 0.2511 0.2511 S
0.7489 0.7489 0.7489 S
0.7532 0.2442 0.2442 S
0.7558 0.2468 0.7558 S
0.7558 0.7558 0.2468 S
```

The following is a DFT calculation (PBE-GGA) of crystalline PmHI at its relaxed geometry.

Summary:
Calculated volume (Å³/atom): 23.4
Space group: I4mm
Energy above the most stable polymorph in this dataset (meV per atom): 430
Total energy (eV per cell): -11.47

Cell and atoms, written as POSCAR:
```
PmHI
1.0
-1.8042 1.8042 5.3954
1.8042 -1.8042 5.3954
1.8042 1.8042 -5.3954
Pm H I
1 1 1
direct
0.0000 0.0000 0.0000 Pm
0.5628 0.5628 0.0000 H
0.3013 0.3013 0.0000 I
```

The following is a DFT calculation (PBE-GGA) of crystalline LiFeCu3 at its relaxed geometry.

Summary:
Calculated volume (Å³/atom): 13.0
Space group: Pm-3m
Energy above the most stable polymorph in this dataset (meV per atom): 15
Total energy (eV per cell): -18.72

Cell and atoms, written as POSCAR:
```
LiFeCu3
1.0
4.0171 0.0000 0.0000
0.0000 4.0171 0.0000
0.0000 0.0000 4.0171
Li Fe Cu
1 1 3
direct
0.0000 0.0000 0.0000 Li
0.5000 0.5000 0.5000 Fe
0.0000 0.0000 0.5000 Cu
0.0000 0.5000 0.0000 Cu
0.5000 0.0000 0.0000 Cu
```

The following is a DFT calculation (PBE-GGA) of crystalline Ti6HO at its relaxed geometry.

Summary:
Calculated volume (Å³/atom): 13.6
Space group: P-31c
Energy above the most stable polymorph in this dataset (meV per atom): 3
Total energy (eV per cell): -123.85

Cell and atoms, written as POSCAR:
```
Ti6HO
1.0
5.1378 0.0000 0.0000
-2.5689 4.4495 0.0000
0.0000 0.0000 9.5301
Ti H O
12 2 2
direct
0.0047 0.3403 0.1203 Ti
0.0047 0.6645 0.3797 Ti
0.3355 0.3403 0.3797 Ti
0.3355 0.9953 0.1203 Ti
0.3403 0.0047 0.6203 Ti
0.3403 0.3355 0.8797 Ti
0.6597 0.6645 0.1203 Ti
0.6597 0.9953 0.3797 Ti
0.6645 0.0047 0.8797 Ti
0.6645 0.6597 0.6203 Ti
0.9953 0.3355 0.6203 Ti
0.9953 0.6597 0.8797 Ti
0.0000 0.0000 0.0000 H
0.0000 0.0000 0.5000 H
0.3333 0.6667 0.2500 O
0.6667 0.3333 0.7500 O
```

The following is a DFT calculation (PBE-GGA) of crystalline Li2AgAu at its relaxed geometry.

Summary:
Calculated volume (Å³/atom): 16.5
Space group: P4mm
Energy above the most stable polymorph in this dataset (meV per atom): 110
Total energy (eV per cell): -11.09

Cell and atoms, written as POSCAR:
```
Li2AgAu
1.0
3.3504 0.0000 0.0000
0.0000 3.3504 0.0000
0.0000 0.0000 5.8796
Li Ag Au
2 1 1
direct
0.0000 0.0000 0.0000 Li
0.5000 0.5000 0.2727 Li
0.0000 0.0000 0.5008 Ag
0.5000 0.5000 0.7971 Au
```

The following is a DFT calculation (PBE-GGA) of crystalline NaLi2PbCl6 at its relaxed geometry.

Summary:
Calculated volume (Å³/atom): 27.2
ΔE_f (raw) (eV/f.u.): -13.563
Space group: C2/c
Total energy (eV per cell): -67.00

Cell and atoms, written as POSCAR:
```
NaLi2PbCl6
1.0
6.7664 -5.9069 0.0000
6.7664 5.9069 0.0000
-1.9154 0.0000 6.8047
Na Li Pb Cl
2 4 2 12
direct
0.1022 0.8978 0.7500 Na
0.8978 0.1022 0.2500 Na
0.1165 0.2859 0.7675 Li
0.2859 0.1165 0.2675 Li
0.7141 0.8835 0.7325 Li
0.8835 0.7141 0.2325 Li
0.3847 0.6153 0.2500 Pb
0.6153 0.3847 0.7500 Pb
0.0824 0.1897 0.0326 Cl
0.1334 0.6306 0.4007 Cl
0.1897 0.0824 0.5326 Cl
0.3158 0.4618 0.8666 Cl
0.3694 0.8666 0.0993 Cl
0.4618 0.3158 0.3666 Cl
0.5382 0.6842 0.6334 Cl
0.6306 0.1334 0.9007 Cl
0.6842 0.5382 0.1334 Cl
0.8103 0.9176 0.4674 Cl
0.8666 0.3694 0.5993 Cl
0.9176 0.8103 0.9674 Cl
```

The following is a DFT calculation (PBE-GGA) of crystalline SmYEr2P4 at its relaxed geometry.

Summary:
Calculated volume (Å³/atom): 22.9
Space group: P2/m
Total energy (eV per cell): -54.76

Cell and atoms, written as POSCAR:
```
SmYEr2P4
1.0
6.9526 0.0000 0.0000
0.0000 4.0169 0.0000
-2.3179 0.0000 6.5559
Sm Y Er P
1 1 2 4
direct
0.0000 0.0000 0.0000 Sm
0.0000 0.5000 0.5000 Y
0.5000 0.0000 0.5000 Er
0.5000 0.5000 0.0000 Er
0.2548 0.0000 0.7492 P
0.2568 0.5000 0.2546 P
0.7432 0.5000 0.7454 P
0.7452 0.0000 0.2508 P
```

The following is a DFT calculation (PBE-GGA) of crystalline Zr3TlH at its relaxed geometry.

Summary:
Calculated volume (Å³/atom): 18.8
Space group: Cmce
Total energy (eV per cell): -129.26

Cell and atoms, written as POSCAR:
```
Zr3TlH
1.0
6.7687 -5.2758 0.0000
6.7687 5.2758 0.0000
0.0000 0.0000 5.2760
Zr Tl H
12 4 4
direct
0.0054 0.2471 0.7453 Zr
0.1210 0.8790 0.7545 Zr
0.2471 0.0054 0.2547 Zr
0.2529 0.4946 0.7547 Zr
0.3790 0.6210 0.2545 Zr
0.4946 0.2529 0.2453 Zr
0.5054 0.7471 0.7547 Zr
0.6210 0.3790 0.7455 Zr
0.7471 0.5054 0.2453 Zr
0.7529 0.9946 0.7453 Zr
0.8790 0.1210 0.2455 Zr
0.9946 0.7529 0.2547 Zr
0.1214 0.3786 0.2500 Tl
0.3786 0.1214 0.7500 Tl
0.6214 0.8786 0.2500 Tl
0.8786 0.6214 0.7500 Tl
0.1993 0.8007 0.1097 H
0.3007 0.6993 0.6097 H
0.6993 0.3007 0.3903 H
0.8007 0.1993 0.8903 H
```

The following is a DFT calculation (PBE-GGA) of crystalline CaBiB3 at its relaxed geometry.

Summary:
Calculated volume (Å³/atom): 21.6
Space group: Pm-3m
Energy above the most stable polymorph in this dataset (meV per atom): 0
Total energy (eV per cell): -16.51

Cell and atoms, written as POSCAR:
```
CaBiB3
1.0
4.7635 0.0000 0.0000
0.0000 4.7635 0.0000
0.0000 0.0000 4.7635
Ca Bi B
1 1 3
direct
0.0000 0.0000 0.0000 Ca
0.5000 0.5000 0.5000 Bi
0.0000 0.5000 0.5000 B
0.5000 0.0000 0.5000 B
0.5000 0.5000 0.0000 B
```